VASP calculation (GGA-PBE) on a relaxed structure of BaFeMo.

Structure (POSCAR):
```
BaFeMo
1.0
-4.203 -4.448 -2.587
-1.309 -6.053 -2.405
-1.111 -1.706 2.615
Mo Fe Ba
1 1 1
Direct
0.724 0.724 0.276
0.280 0.280 0.720
0.996 0.996 0.004
```

For the formation energy, the calculation gives 0.758 eV per atom. As for the crystal system: tetragonal. The energy above the most stable polymorph in this dataset comes out at 0 meV per atom.

VASP calculation (GGA-PBE) on a relaxed structure of BaFeMo2.

Structure (POSCAR):
```
BaFeMo2
1.0
7.466 2.097 -0.882
4.852 6.050 0.882
-5.857 -4.530 2.469
Mo Fe Ba
2 1 1
Direct
0.894 0.894 0.000
0.785 0.285 0.500
0.261 0.761 0.500
0.560 0.560 0.000
```

For the formation energy, the calculation gives 0.899 eV per atom. As for the crystal system: orthorhombic. The energy above the most stable polymorph in this dataset comes out at 217 meV per atom.

| no. | DOS(E_F) (states/eV/atom) |
| --- | --- |
| 1 | 1.021 |
| 2 | 1.060 |